Entry from Alexandria via LeMat-Bulk: a relaxed structure of HfMgMo (GGA-PBE).

```
HfMgMo
1.0
4.121 0.000 0.000
0.000 4.121 0.000
0.000 0.000 7.276
Mg Hf Mo
2 2 2
direct
0.000 0.500 0.799 Mg
0.500 0.000 0.201 Mg
0.000 0.500 0.225 Hf
0.500 0.000 0.775 Hf
0.500 0.500 0.500 Mo
0.000 0.000 0.500 Mo
```

Properties
Crystal system: tetragonal
ΔE_f in meV per atom: 458
VASP energy in eV per atom: -7.0014
Space-group type: P4/nmm
DOS at the Fermi energy in states/eV per atom: 1.177